[1]
! Zn4SiSb | the Alexandria database | PBE | optimized geometry; values from VASP
! Formation energy without anion corrections (meV per atom): 276
! Space-group type: F-43m (216)
&SYSTEM
  ibrav = 0, nat = 6, ntyp = 3
/
ATOMIC_SPECIES
Si 28.09 Si.upf
Zn 65.41 Zn.upf
Sb 121.76 Sb.upf
ATOMIC_POSITIONS angstrom
Si 0.000 0.000 0.000
Zn 4.713 2.818 2.818
Zn 2.818 4.713 2.818
Zn 4.713 4.713 4.713
Zn 2.818 2.818 4.713
Sb 1.883 1.883 1.883
CELL_PARAMETERS angstrom
0.000 3.765 3.765
3.765 0.000 3.765
3.765 3.765 0.000

=====

[2]
! ZrSi2Sb | the Alexandria database | PBE | optimized geometry; values from VASP
! Formation energy without anion corrections (meV per atom): -106
! Space-group type: R3m (160)
&SYSTEM
  ibrav = 0, nat = 4, ntyp = 3
/
ATOMIC_SPECIES
Sb 121.76 Sb.upf
Si 28.09 Si.upf
Zr 91.22 Zr.upf
ATOMIC_POSITIONS angstrom
Sb -0.602 -7.437 14.427
Si -0.785 -9.694 18.804
Si -0.209 -2.583 5.010
Zr -0.413 -5.098 9.889
CELL_PARAMETERS angstrom
-2.144 -4.145 5.908
1.516 -4.349 5.955
-0.175 -1.430 7.389

=====

[3]
! ZrSi2Sb | the Alexandria database | PBE | optimized geometry; values from VASP
! Formation energy without anion corrections (meV per atom): -47
! Space-group type: P2/m (10)
&SYSTEM
  ibrav = 0, nat = 4, ntyp = 3
/
ATOMIC_SPECIES
Si 28.09 Si.upf
Sb 121.76 Sb.upf
Zr 91.22 Zr.upf
ATOMIC_POSITIONS angstrom
Si 0.000 0.000 0.000
Si 1.889 2.657 0.011
Sb 0.000 2.050 1.989
Zr 1.889 4.707 1.999
CELL_PARAMETERS angstrom
3.778 0.000 0.000
0.000 5.314 0.021
0.000 4.100 3.978